Entry 1:
Compound: CoNiAs4
Source: the Alexandria database
Functional: PBE
Structure: relaxed

Cell lengths 5.352, 5.352, 5.352 Å; angles 60.00, 60.00, 60.00 degrees
Element x y z (fractional)
Ni  0.000  0.000  0.000
As  0.375  0.375  0.874
As  0.375  0.874  0.375
As  0.874  0.375  0.375
As  0.375  0.375  0.375
Co  0.750  0.750  0.750

E_tot	-4.383	eV per atom
mass density	6392	kg/m³
DOS(E_F)	7.1	states/eV/f.u.
V	108	Å³ per cell
E_form	0.87	eV per atom
E above lowest polymorph	1.149	eV per atom

---

Entry 2:
Compound: Ac2ErTe3
Source: the Alexandria database
Functional: PBE
Structure: relaxed

Cell lengths 8.011, 8.011, 14.301 Å; angles 101.04, 101.04, 108.44 degrees
Element x y z (fractional)
Ac  0.829  0.329  0.657
Ac  0.747  0.747  0.493
Ac  0.253  0.253  0.507
Ac  0.503  0.003  0.007
Ac  0.997  0.497  0.993
Ac  0.421  0.421  0.843
Ac  0.579  0.579  0.157
Ac  0.671  0.171  0.343
Er  0.333  0.833  0.665
Er  0.083  0.083  0.165
Er  0.917  0.917  0.835
Er  0.167  0.667  0.335
Te  0.474  0.974  0.500
Te  0.224  0.224  0.000
Te  0.389  0.411  0.324
Te  0.589  0.611  0.676
Te  0.164  0.685  0.824
Te  0.026  0.526  0.500
Te  0.315  0.836  0.176
Te  0.086  0.065  0.676
Te  0.776  0.776  0.000
Te  0.861  0.339  0.176
Te  0.661  0.139  0.824
Te  0.935  0.914  0.324

E_tot	-5.086	eV per atom
mass density	8107	kg/m³
DOS(E_F)	3.6	states/eV/f.u.
formation energy without anion corrections	-1.386	eV/atom
V	823	Å³ per cell

---

Entry 3:
Compound: Tb3YTm6Th2
Source: the Alexandria database
Functional: PBE
Structure: relaxed

Cell lengths 6.122, 6.122, 11.646 Å; angles 95.04, 95.04, 119.97 degrees
Element x y z (fractional)
Tb  0.834  0.166  0.500
Tb  0.166  0.834  0.500
Tb  0.500  0.500  0.500
Tm  0.255  0.255  0.752
Tm  0.579  0.917  0.752
Tm  0.083  0.421  0.248
Tm  0.917  0.579  0.752
Tm  0.745  0.745  0.248
Tm  0.421  0.083  0.248
Th  0.333  0.667  0.000
Th  0.667  0.333  0.000
Y  0.000  0.000  0.000

E_tot	-5.145	eV per atom
mass density	9116	kg/m³
DOS(E_F)	15.7	states/eV/f.u.
V	372	Å³ per cell
E_form	0.02	eV per atom

---

Entry 4:
Compound: ThCdInRh
Source: the Alexandria database
Functional: PBE
Structure: relaxed

Cell lengths 5.023, 5.023, 5.023 Å; angles 60.00, 60.00, 60.00 degrees
Element x y z (fractional)
In  0.000  0.000  0.000
Rh  0.250  0.250  0.250
Cd  0.750  0.750  0.750
Th  0.500  0.500  0.500

E_tot	-4.947	eV per atom
mass density	10416	kg/m³
DOS(E_F)	3.1	states/eV/f.u.
V	90	Å³ per cell
E_form	-0.34	eV per atom

---

Entry 5:
Compound: NaTmTl
Source: the Alexandria database
Functional: PBE
Structure: relaxed

Cell lengths 3.373, 5.272, 5.272 Å; angles 120.00, 90.00, 90.00 degrees
Element x y z (fractional)
Na  0.507  0.333  0.667
Tm  0.001  0.000  0.000
Tl  0.492  0.667  0.333

E_tot	-2.731	eV per atom
mass density	8106	kg/m³
DOS(E_F)	1.8	states/eV/f.u.
V	81	Å³ per cell
E_form	-0.01	eV per atom
E above lowest polymorph	0.099	eV per atom

---

Entry 6:
Compound: Er4AlInO
Source: the Alexandria database
Functional: PBE
Structure: relaxed

Cell lengths 6.458, 6.463, 8.667 Å; angles 90.00, 111.87, 90.00 degrees
Element x y z (fractional)
In  0.610  0.750  0.221
In  0.390  0.250  0.779
Er  0.925  0.250  0.850
Er  0.000  0.000  0.500
Er  0.584  0.250  0.167
Er  0.500  0.500  0.500
Er  0.000  0.500  0.500
Er  0.416  0.750  0.833
Er  0.075  0.750  0.150
Er  0.500  0.000  0.500
O  0.257  0.750  0.515
O  0.743  0.250  0.485
Al  0.884  0.750  0.769
Al  0.116  0.250  0.231

E_tot	-5.292	eV per atom
mass density	8178	kg/m³
DOS(E_F)	2.3	states/eV/f.u.
formation energy without anion corrections	-1.051	eV/atom
V	336	Å³ per cell

---

Entry 7:
Compound: K2AlCr2Te6
Source: the Alexandria database
Functional: PBE
Structure: relaxed

Cell lengths 6.892, 6.892, 8.842 Å; angles 97.38, 97.38, 120.31 degrees
Element x y z (fractional)
Te  0.599  0.938  0.318
Te  0.280  0.280  0.319
Te  0.401  0.062  0.682
Te  0.938  0.599  0.318
Te  0.062  0.401  0.682
Te  0.720  0.720  0.681
Al  0.000  0.000  0.500
Cr  0.332  0.668  0.500
Cr  0.668  0.332  0.500
K  0.165  0.835  0.000
K  0.835  0.165  0.000

E_tot	-4.508	eV per atom
mass density	4621	kg/m³
DOS(E_F)	3.6	states/eV/f.u.
formation energy without anion corrections	-0.505	eV/atom
V	350	Å³ per cell

---

Entry 8:
Compound: Ac2I3
Source: the Alexandria database
Functional: PBE
Structure: relaxed

Cell lengths 7.356, 7.356, 10.351 Å; angles 69.19, 69.19, 60.00 degrees
Element x y z (fractional)
I  0.086  0.750  0.750
I  0.914  0.250  0.250
I  0.414  0.086  0.750
I  0.250  0.586  0.250
I  0.586  0.914  0.250
I  0.750  0.414  0.750
Ac  0.832  0.832  0.505
Ac  0.332  0.332  0.005
Ac  0.668  0.668  0.995
Ac  0.168  0.168  0.495

E_tot	-3.593	eV per atom
mass density	6267	kg/m³
DOS(E_F)	4.5	states/eV/f.u.
formation energy without anion corrections	-1.020	eV/atom
V	442	Å³ per cell

---

Entry 9:
Compound: SiSn2I
Source: the Alexandria database
Functional: PBE
Structure: relaxed

Cell lengths 7.796, 7.796, 7.013 Å; angles 56.23, 56.23, 90.00 degrees
Element x y z (fractional)
I  0.750  0.250  0.500
I  0.000  0.000  0.000
Si  0.500  0.500  0.000
Si  0.250  0.750  0.500
Sn  0.375  0.438  0.750
Sn  0.875  0.812  0.750
Sn  0.562  0.125  0.250
Sn  0.188  0.625  0.250

E_tot	-3.436	eV per atom
mass density	4945	kg/m³
DOS(E_F)	3.2	states/eV/f.u.
formation energy without anion corrections	0.309	eV/atom
V	264	Å³ per cell
E above lowest polymorph	0.000	eV per atom

---

Entry 10:
Compound: KPuPb2Cl8
Source: the Alexandria database
Functional: PBE
Structure: relaxed

Cell lengths 6.815, 6.704, 8.918 Å; angles 90.00, 90.00, 89.21 degrees
Element x y z (fractional)
Cl  0.842  0.233  0.220
Cl  0.640  0.722  0.500
Cl  0.360  0.278  0.500
Cl  0.682  0.749  0.000
Cl  0.158  0.767  0.220
Cl  0.842  0.233  0.780
Cl  0.158  0.767  0.780
Cl  0.318  0.251  0.000
Pb  0.500  0.500  0.747
Pb  0.500  0.500  0.253
Pu  0.000  0.000  0.000
K  0.000  0.000  0.500

E_tot	-4.673	eV per atom
mass density	4000	kg/m³
DOS(E_F)	9.8	states/eV/f.u.
formation energy without anion corrections	-1.538	eV/atom
V	407	Å³ per cell

---

Entry 11:
Compound: RbLiRuBr6
Source: the Alexandria database
Functional: PBE
Structure: relaxed

Cell lengths 6.832, 6.832, 7.745 Å; angles 90.00, 90.00, 59.99 degrees
Element x y z (fractional)
Br  0.023  0.355  0.313
Br  0.023  0.622  0.687
Br  0.355  0.622  0.313
Br  0.622  0.355  0.687
Br  0.355  0.023  0.687
Br  0.622  0.023  0.313
Ru  0.333  0.333  0.500
Rb  0.000  0.000  0.000
Li  0.667  0.667  0.500

E_tot	-3.310	eV per atom
mass density	3569	kg/m³
DOS(E_F)	6.5	states/eV/f.u.
formation energy without anion corrections	-0.844	eV/atom
V	313	Å³ per cell

---

Entry 12:
Compound: Pa3Si3Ir2
Source: the Alexandria database
Functional: PBE
Structure: relaxed

Cell lengths 4.222, 5.542, 14.293 Å; angles 90.00, 90.00, 112.39 degrees
Element x y z (fractional)
Pa  0.906  0.813  0.390
Pa  0.906  0.813  0.110
Pa  0.371  0.742  0.750
Pa  0.629  0.258  0.250
Pa  0.094  0.187  0.610
Pa  0.094  0.187  0.890
Si  0.656  0.311  0.750
Si  0.390  0.781  0.962
Si  0.390  0.781  0.538
Si  0.610  0.219  0.462
Si  0.344  0.689  0.250
Si  0.610  0.219  0.038
Ir  0.195  0.389  0.393
Ir  0.805  0.611  0.893
Ir  0.195  0.389  0.107
Ir  0.805  0.611  0.607

E_tot	-8.642	eV per atom
mass density	12479	kg/m³
DOS(E_F)	8.7	states/eV/f.u.
formation energy without anion corrections	-0.832	eV/atom
V	309	Å³ per cell